DFT (PBE-GGA) results for a relaxed structure of BaYF5.

The structure in POSCAR format:
```
BaYF5
1.0
-7.192 1.066 2.455
-1.132 -7.585 -0.024
2.522 -0.570 7.635
F Y Ba
20 4 4
Direct
0.045 0.340 0.311
0.564 0.768 0.315
0.545 0.660 0.689
0.064 0.232 0.685
0.751 0.974 0.722
0.251 0.026 0.278
0.251 0.516 0.539
0.751 0.067 0.390
0.956 0.660 0.689
0.086 0.824 0.955
0.251 0.933 0.610
0.416 0.824 0.955
0.251 0.487 0.955
0.438 0.232 0.685
0.751 0.513 0.045
0.751 0.484 0.461
0.586 0.176 0.045
0.916 0.176 0.045
0.938 0.768 0.315
0.456 0.340 0.311
0.751 0.310 0.242
0.751 0.787 0.519
0.251 0.213 0.481
0.251 0.690 0.758
0.251 0.673 0.239
0.751 0.856 0.033
0.251 0.144 0.967
0.751 0.327 0.761
```

* excess energy over the best structure of this formula in the dataset: 0.0304 eV/atom
* ΔE_f (raw): -4.011 eV per atom
* theoretical density: 4.50 g cm⁻³
* electronic total energy: -6.55 eV per atom